#w
First-principles (PBE) data for a relaxed CsSnTe crystal, as listed in the Alexandria database.

CIF file:
```
data_CsSnTe
_symmetry_space_group_name_H-M 'P 1'
_symmetry_Int_Tables_number 1
_symmetry_space_group_name_Hall 'P 1'
_cell_length_a 5.176
_cell_length_b 5.785
_cell_length_c 10.578
_cell_angle_alpha 101.10
_cell_angle_beta 90.24
_cell_angle_gamma 90.03
loop_
_atom_site_label
_atom_site_fract_x
_atom_site_fract_y
_atom_site_fract_z
_atom_site_occupancy
Cs1 0.000 0.000 0.000 1
Cs2 0.493 0.636 0.377 1
Sn1 0.496 0.434 0.735 1
Sn2 0.995 0.205 0.642 1
Te1 0.500 0.496 0.999 1
Te2 0.993 0.141 0.377 1
```

Values from the calculation:
V (Å³ per atom): 51.80

---

#x
First-principles (PBE) data for a relaxed CsSnTe crystal, as listed in the Alexandria database.

CIF file:
```
data_CsSnTe
_symmetry_space_group_name_H-M 'C 1 2/m 1'
_symmetry_Int_Tables_number 12
_symmetry_space_group_name_Hall '-C 2y'
_cell_length_a 19.611
_cell_length_b 5.006
_cell_length_c 6.048
_cell_angle_alpha 90.00
_cell_angle_beta 102.62
_cell_angle_gamma 90.00
loop_
_atom_site_label
_atom_site_fract_x
_atom_site_fract_y
_atom_site_fract_z
_atom_site_occupancy
Cs1 0.090 0.000 0.323 1
Sn1 0.223 0.500 0.886 1
Te1 0.079 0.500 0.823 1
```

Values from the calculation:
V (Å³ per atom): 48.29

---

Name the least stable of them. #w.

---

#w
First-principles (PBE) data for a relaxed Cs2Sn2Te5 crystal, as listed in the Alexandria database.

CIF file:
```
data_Cs2Sn2Te5
_symmetry_space_group_name_H-M 'C 1 2/m 1'
_symmetry_Int_Tables_number 12
_symmetry_space_group_name_Hall '-C 2y'
_cell_length_a 15.710
_cell_length_b 5.443
_cell_length_c 10.622
_cell_angle_alpha 90.00
_cell_angle_beta 107.61
_cell_angle_gamma 90.00
loop_
_atom_site_label
_atom_site_fract_x
_atom_site_fract_y
_atom_site_fract_z
_atom_site_occupancy
Cs1 0.080 0.000 0.336 1
Sn1 0.163 0.500 0.890 1
Te1 0.000 0.500 0.000 1
Te2 0.095 0.500 0.614 1
Te3 0.133 0.000 0.995 1
```

Values from the calculation:
V (Å³ per atom): 48.09

---

#x
First-principles (PBE) data for a relaxed Cs2Sn2Te5 crystal, as listed in the Alexandria database.

CIF file:
```
data_Cs2Sn2Te5
_symmetry_space_group_name_H-M 'C 1 c 1'
_symmetry_Int_Tables_number 9
_symmetry_space_group_name_Hall 'C -2yc'
_cell_length_a 26.355
_cell_length_b 9.311
_cell_length_c 7.076
_cell_angle_alpha 90.00
_cell_angle_beta 104.39
_cell_angle_gamma 90.00
loop_
_atom_site_label
_atom_site_fract_x
_atom_site_fract_y
_atom_site_fract_z
_atom_site_occupancy
Cs1 0.000 0.230 0.000 1
Cs2 0.219 0.269 0.203 1
Sn1 0.148 0.253 0.630 1
Sn2 0.353 0.149 0.735 1
Te1 0.110 0.498 0.846 1
Te2 0.118 0.001 0.855 1
Te3 0.261 0.312 0.749 1
Te4 0.358 0.144 0.340 1
Te5 0.431 0.314 0.936 1
```

Values from the calculation:
V (Å³ per atom): 46.73

---

Name the least stable of them. #w.

---

#w
First-principles (PBE) data for a relaxed CsSn3Te3 crystal, as listed in the Alexandria database.

CIF file:
```
data_CsSn3Te3
_symmetry_space_group_name_H-M 'P m -3 n'
_symmetry_Int_Tables_number 223
_symmetry_space_group_name_Hall '-P 4n 2 3'
_cell_length_a 8.762
_cell_length_b 8.762
_cell_length_c 8.762
_cell_angle_alpha 90.00
_cell_angle_beta 90.00
_cell_angle_gamma 90.00
loop_
_atom_site_label
_atom_site_fract_x
_atom_site_fract_y
_atom_site_fract_z
_atom_site_occupancy
Cs1 0.000 0.000 0.000 1
Sn1 0.000 0.250 0.500 1
Te1 0.000 0.500 0.250 1
```

Values from the calculation:
V (Å³ per atom): 48.06

---

#x
First-principles (PBE) data for a relaxed CsSn3Te3 crystal, as listed in the Alexandria database.

CIF file:
```
data_CsSn3Te3
_symmetry_space_group_name_H-M 'R -3'
_symmetry_Int_Tables_number 148
_symmetry_space_group_name_Hall '-R 3'
_cell_length_a 9.7985
_cell_length_b 9.7985
_cell_length_c 21.1200
_cell_angle_alpha 90.00
_cell_angle_beta 90.00
_cell_angle_gamma 120.00
loop_
_atom_site_label
_atom_site_fract_x
_atom_site_fract_y
_atom_site_fract_z
_atom_site_occupancy
Cs1 0.0000 0.0000 0.1714 1
Sn1 0.0158 0.6498 0.7222 1
Te1 0.0210 0.2871 0.4096 1
```

Values from the calculation:
V (Å³ per atom): 41.81

---

Name the least stable of them. #w.

---

#w
First-principles (PBE) data for a relaxed Cs3SnTe3 crystal, as listed in the Alexandria database.

CIF file:
```
data_Cs3SnTe3
_symmetry_space_group_name_H-M 'C 1 2/m 1'
_symmetry_Int_Tables_number 12
_symmetry_space_group_name_Hall '-C 2y'
_cell_length_a 10.409
_cell_length_b 15.674
_cell_length_c 9.407
_cell_angle_alpha 90.00
_cell_angle_beta 102.56
_cell_angle_gamma 90.00
loop_
_atom_site_label
_atom_site_fract_x
_atom_site_fract_y
_atom_site_fract_z
_atom_site_occupancy
Cs1 0.000 0.174 0.000 1
Cs2 0.000 0.243 0.500 1
Cs3 0.110 0.500 0.860 1
Sn1 0.166 0.000 0.642 1
Te1 0.103 0.000 0.306 1
Te2 0.200 0.353 0.219 1
```

Values from the calculation:
V (Å³ per atom): 53.50

---

#x
First-principles (PBE) data for a relaxed Cs3SnTe3 crystal, as listed in the Alexandria database.

CIF file:
```
data_Cs3SnTe3
_symmetry_space_group_name_H-M 'C 1 2/c 1'
_symmetry_Int_Tables_number 15
_symmetry_space_group_name_Hall '-C 2yc'
_cell_length_a 17.778
_cell_length_b 15.128
_cell_length_c 10.616
_cell_angle_alpha 90.00
_cell_angle_beta 96.86
_cell_angle_gamma 90.00
loop_
_atom_site_label
_atom_site_fract_x
_atom_site_fract_y
_atom_site_fract_z
_atom_site_occupancy
Cs1 0.000 0.090 0.250 1
Cs2 0.000 0.409 0.250 1
Cs3 0.090 0.259 0.632 1
Cs4 0.245 0.004 0.741 1
Sn1 0.174 0.251 0.042 1
Te1 0.095 0.104 0.942 1
Te2 0.101 0.405 0.950 1
Te3 0.185 0.248 0.307 1
```

Values from the calculation:
V (Å³ per atom): 50.62

---

Name the least stable of them. #w.

---

#w
First-principles (PBE) data for a relaxed Cs2SnTe3 crystal, as listed in the Alexandria database.

CIF file:
```
data_Cs2SnTe3
_symmetry_space_group_name_H-M 'C 1 2/c 1'
_symmetry_Int_Tables_number 15
_symmetry_space_group_name_Hall '-C 2yc'
_cell_length_a 14.569
_cell_length_b 9.859
_cell_length_c 8.238
_cell_angle_alpha 90.00
_cell_angle_beta 100.25
_cell_angle_gamma 90.00
loop_
_atom_site_label
_atom_site_fract_x
_atom_site_fract_y
_atom_site_fract_z
_atom_site_occupancy
Cs1 0.158 0.163 0.177 1
Sn1 0.000 0.418 0.750 1
Te1 0.000 0.140 0.750 1
Te2 0.132 0.452 0.486 1
```

Values from the calculation:
V (Å³ per atom): 48.52

---

#x
First-principles (PBE) data for a relaxed Cs2SnTe3 crystal, as listed in the Alexandria database.

CIF file:
```
data_Cs2SnTe3
_symmetry_space_group_name_H-M 'C 1 2/c 1'
_symmetry_Int_Tables_number 15
_symmetry_space_group_name_Hall '-C 2yc'
_cell_length_a 8.156
_cell_length_b 16.949
_cell_length_c 18.489
_cell_angle_alpha 90.00
_cell_angle_beta 91.52
_cell_angle_gamma 90.00
loop_
_atom_site_label
_atom_site_fract_x
_atom_site_fract_y
_atom_site_fract_z
_atom_site_occupancy
Cs1 0.224 0.202 0.348 1
Cs2 0.248 0.095 0.934 1
Sn1 0.230 0.497 0.339 1
Te1 0.000 0.038 0.250 1
Te2 0.000 0.411 0.250 1
Te3 0.190 0.345 0.863 1
Te4 0.238 0.102 0.545 1
```

Values from the calculation:
V (Å³ per atom): 53.23

---

Name the least stable of them. #w.

---

#w
First-principles (PBE) data for a relaxed CsTiSn2 crystal, as listed in the Alexandria database.

CIF file:
```
data_CsTiSn2
_symmetry_space_group_name_H-M 'I -4 2 d'
_symmetry_Int_Tables_number 122
_symmetry_space_group_name_Hall 'I -4 2bw'
_cell_length_a 6.407
_cell_length_b 6.407
_cell_length_c 17.488
_cell_angle_alpha 90.00
_cell_angle_beta 90.00
_cell_angle_gamma 90.00
loop_
_atom_site_label
_atom_site_fract_x
_atom_site_fract_y
_atom_site_fract_z
_atom_site_occupancy
Cs1 0.000 0.000 0.000 1
Ti1 0.000 0.000 0.500 1
Sn1 0.001 0.250 0.625 1
```

Values from the calculation:
V (Å³ per atom): 44.87

---

#x
First-principles (PBE) data for a relaxed CsTiSn2 crystal, as listed in the Alexandria database.

CIF file:
```
data_CsTiSn2
_symmetry_space_group_name_H-M 'F m -3 m'
_symmetry_Int_Tables_number 225
_symmetry_space_group_name_Hall '-F 4 2 3'
_cell_length_a 7.813
_cell_length_b 7.813
_cell_length_c 7.813
_cell_angle_alpha 90.00
_cell_angle_beta 90.00
_cell_angle_gamma 90.00
loop_
_atom_site_label
_atom_site_fract_x
_atom_site_fract_y
_atom_site_fract_z
_atom_site_occupancy
Cs1 0.000 0.000 0.000 1
Ti1 0.000 0.000 0.500 1
Sn1 0.250 0.250 0.250 1
```

Values from the calculation:
V (Å³ per atom): 29.80

---

Name the least stable of them. #x.

---

#w
First-principles (PBE) data for a relaxed CsTl2Sn crystal, as listed in the Alexandria database.

CIF file:
```
data_CsTl2Sn
_symmetry_space_group_name_H-M 'F m -3 m'
_symmetry_Int_Tables_number 225
_symmetry_space_group_name_Hall '-F 4 2 3'
_cell_length_a 8.290
_cell_length_b 8.290
_cell_length_c 8.290
_cell_angle_alpha 90.00
_cell_angle_beta 90.00
_cell_angle_gamma 90.00
loop_
_atom_site_label
_atom_site_fract_x
_atom_site_fract_y
_atom_site_fract_z
_atom_site_occupancy
Cs1 0.000 0.000 0.000 1
Tl1 0.250 0.250 0.250 1
Sn1 0.000 0.000 0.500 1
```

Values from the calculation:
V (Å³ per atom): 35.61

---

#x
First-principles (PBE) data for a relaxed CsTl2Sn crystal, as listed in the Alexandria database.

CIF file:
```
data_CsTl2Sn
_symmetry_space_group_name_H-M 'C 1 m 1'
_symmetry_Int_Tables_number 8
_symmetry_space_group_name_Hall 'C -2y'
_cell_length_a 15.419
_cell_length_b 5.091
_cell_length_c 8.678
_cell_angle_alpha 90.00
_cell_angle_beta 103.71
_cell_angle_gamma 90.00
loop_
_atom_site_label
_atom_site_fract_x
_atom_site_fract_y
_atom_site_fract_z
_atom_site_occupancy
Cs1 0.000 0.000 0.000 1
Cs2 0.137 0.500 0.639 1
Tl1 0.212 0.000 0.348 1
Tl2 0.240 0.500 0.126 1
Tl3 0.380 0.000 0.684 1
Tl4 0.430 0.000 0.281 1
Sn1 0.275 0.000 0.968 1
Sn2 0.368 0.500 0.465 1
```

Values from the calculation:
V (Å³ per atom): 41.36

---

#y
First-principles (PBE) data for a relaxed CsTl2Sn crystal, as listed in the Alexandria database.

CIF file:
```
data_CsTl2Sn
_symmetry_space_group_name_H-M 'P 4/m m m'
_symmetry_Int_Tables_number 123
_symmetry_space_group_name_Hall '-P 4 2'
_cell_length_a 4.035
_cell_length_b 4.035
_cell_length_c 8.909
_cell_angle_alpha 90.00
_cell_angle_beta 90.00
_cell_angle_gamma 90.00
loop_
_atom_site_label
_atom_site_fract_x
_atom_site_fract_y
_atom_site_fract_z
_atom_site_occupancy
Cs1 0.000 0.000 0.000 1
Tl1 0.500 0.500 0.308 1
Sn1 0.000 0.000 0.500 1
```

Values from the calculation:
V (Å³ per atom): 36.27

---

#z
First-principles (PBE) data for a relaxed CsTl2Sn crystal, as listed in the Alexandria database.

CIF file:
```
data_CsTl2Sn
_symmetry_space_group_name_H-M 'I -4 2 d'
_symmetry_Int_Tables_number 122
_symmetry_space_group_name_Hall 'I -4 2bw'
_cell_length_a 6.060
_cell_length_b 6.060
_cell_length_c 20.865
_cell_angle_alpha 90.00
_cell_angle_beta 90.00
_cell_angle_gamma 90.00
loop_
_atom_site_label
_atom_site_fract_x
_atom_site_fract_y
_atom_site_fract_z
_atom_site_occupancy
Cs1 0.000 0.000 0.000 1
Tl1 0.078 0.250 0.625 1
Sn1 0.000 0.000 0.500 1
```

Values from the calculation:
V (Å³ per atom): 47.89

---

Name the least stable of them. #z.

---

#w
First-principles (PBE) data for a relaxed CsTl2Sn crystal, as listed in the Alexandria database.

CIF file:
```
data_CsTl2Sn
_symmetry_space_group_name_H-M 'R 3 m'
_symmetry_Int_Tables_number 160
_symmetry_space_group_name_Hall 'R 3 -2"'
_cell_length_a 5.0668
_cell_length_b 5.0668
_cell_length_c 22.6862
_cell_angle_alpha 90.00
_cell_angle_beta 90.00
_cell_angle_gamma 120.00
loop_
_atom_site_label
_atom_site_fract_x
_atom_site_fract_y
_atom_site_fract_z
_atom_site_occupancy
Cs1 0.0000 0.0000 0.0000 1
Tl1 0.0000 0.0000 0.5584 1
Tl2 0.0000 0.0000 0.7869 1
Sn1 0.0000 0.0000 0.1808 1
```

Values from the calculation:
V (Å³ per atom): 42.03

---

#x
First-principles (PBE) data for a relaxed CsTl2Sn crystal, as listed in the Alexandria database.

CIF file:
```
data_CsTl2Sn
_symmetry_space_group_name_H-M 'R -3 m'
_symmetry_Int_Tables_number 166
_symmetry_space_group_name_Hall '-R 3 2"'
_cell_length_a 5.0858
_cell_length_b 5.0858
_cell_length_c 22.0108
_cell_angle_alpha 90.00
_cell_angle_beta 90.00
_cell_angle_gamma 120.00
loop_
_atom_site_label
_atom_site_fract_x
_atom_site_fract_y
_atom_site_fract_z
_atom_site_occupancy
Cs1 0.0000 0.0000 0.0000 1
Tl1 0.0000 0.0000 0.2197 1
Sn1 0.0000 0.0000 0.5000 1
```

Values from the calculation:
V (Å³ per atom): 41.09

---

Name the least stable of them. #w.